1.
The following is a PBE calculation of a relaxed K4CeDy3Se8 crystal, from the Alexandria database.

Cell and atoms, written as POSCAR:
```
K4CeDy3Se8
1.0
8.5164 0.0000 0.0000
0.0000 9.1102 0.4103
-4.2582 -4.2553 6.0247
K Ce Dy Se
4 1 3 8
Cartesian
4.2582 0.0000 0.0000
2.1291 -2.1276 3.0123
0.0000 0.0000 0.0000
-2.1291 -2.1276 3.0123
0.0000 4.5551 0.2051
4.2582 4.5551 0.2051
2.1291 2.4274 3.2175
-2.1291 2.4274 3.2175
-2.0806 2.3215 6.1188
0.0000 4.4007 3.1749
0.0000 0.4379 3.3169
2.0806 2.3215 6.1188
2.1776 2.5334 0.3161
4.2582 4.4170 3.1181
4.2582 0.4542 3.2601
6.3388 2.5334 0.3161
```

DOS(E_F) = 0.32 states/eV/atom
crystal system = trigonal
energy relative to the elements, uncorrected = -27.865 eV/f.u.
calculated volume = 30.1 Å³/atom

---

2.
The following is a PBE calculation of a relaxed KCeDy4Se8 crystal, from the Alexandria database.

Cell and atoms, written as POSCAR:
```
KCeDy4Se8
1.0
-2.2754 -3.1776 7.6240
5.6419 -4.4913 4.6256
3.3255 3.4797 7.2566
K Ce Dy Se
1 1 4 8
Cartesian
4.1925 0.2243 10.9722
3.2990 3.4071 7.2184
2.5125 -4.3779 8.5526
4.4096 -0.4468 5.9436
0.5959 0.1861 7.3878
1.6919 1.7167 3.7155
6.3540 -1.8116 10.7688
1.9536 -1.0814 12.4352
3.2182 0.6847 8.1978
1.7794 -0.7558 5.0298
0.4701 -2.5062 8.7232
4.5994 -3.1914 7.1594
3.4126 -4.8487 11.1357
4.9685 -3.2802 14.5569
```

DOS(E_F) = 0.60 states/eV/atom
crystal system = trigonal
energy relative to the elements, uncorrected = -24.176 eV/f.u.
calculated volume = 32.5 Å³/atom

---

3.
The following is a PBE calculation of a relaxed K3Ce2DySe6 crystal, from the Alexandria database.

Cell and atoms, written as POSCAR:
```
K3Ce2DySe6
1.0
7.4961 -0.0013 -0.0001
-3.7474 6.4922 -0.0001
-1.2504 -2.1651 7.6701
K Ce Dy Se
3 2 1 6
Cartesian
-2.4899 4.3224 3.8349
4.9882 0.0035 3.8349
1.2492 2.1629 3.8349
0.0015 4.3271 -0.0001
3.7472 2.1638 -0.0001
0.0000 0.0000 0.0000
3.7178 2.2139 6.0740
2.5294 4.3797 1.5954
-1.2195 2.1119 1.5958
0.0596 4.3267 6.0740
-0.0311 -0.0538 6.0745
2.4387 -0.0008 1.5958
```

DOS(E_F) = 0.98 states/eV/atom
crystal system = monoclinic
energy relative to the elements, uncorrected = -20.527 eV/f.u.
calculated volume = 31.1 Å³/atom

---

4.
The following is a PBE calculation of a relaxed K3CeDy2Se6 crystal, from the Alexandria database.

Cell and atoms, written as POSCAR:
```
K3CeDy2Se6
1.0
-6.0152 -4.1236 1.2622
6.1708 -3.1539 -2.5989
2.3275 1.1576 7.6365
K Ce Dy Se
3 1 2 6
Cartesian
5.3166 -2.7357 1.8587
-2.8336 -3.3843 4.4411
1.2415 -3.0600 3.1499
0.0000 0.0000 0.0000
2.1103 -3.4770 -1.3123
-1.9547 -3.8005 -0.0244
-0.1166 -4.7800 5.7040
0.5933 -5.0520 0.6037
2.5997 -1.3399 0.5958
4.0475 -4.4486 4.3846
1.8898 -1.0679 5.6960
-1.5645 -1.6713 1.9152
```

DOS(E_F) = 0.42 states/eV/atom
crystal system = monoclinic
energy relative to the elements, uncorrected = -20.828 eV/f.u.
calculated volume = 30.4 Å³/atom

---

5.
The following is a PBE calculation of a relaxed KCe2DySe4 crystal, from the Alexandria database.

Cell and atoms, written as POSCAR:
```
KCe2DySe4
1.0
4.2124 0.0000 0.0000
0.0000 7.3927 -0.1825
0.0000 2.5657 6.9697
K Ce Dy Se
1 2 1 4
Cartesian
2.1062 3.6964 -0.0913
0.0000 2.5657 6.9697
2.1062 1.2828 3.4848
0.0000 4.9791 3.3936
0.0001 7.4755 4.9621
4.2124 2.4829 1.8251
2.1063 6.1817 1.7013
2.1062 3.7767 5.0858
```

DOS(E_F) = 1.76 states/eV/atom
crystal system = monoclinic
energy relative to the elements, uncorrected = -13.463 eV/f.u.
calculated volume = 27.4 Å³/atom

---

6.
The following is a PBE calculation of a relaxed K2CeDyTe4 crystal, from the Alexandria database.

Cell and atoms, written as POSCAR:
```
K2CeDyTe4
1.0
4.5805 0.0000 0.0000
0.0000 7.9344 0.1376
0.0000 -2.7838 8.1813
K Ce Dy Te
2 1 1 4
Cartesian
2.2902 -1.3919 4.0906
0.0000 2.5753 4.1594
0.0000 0.0000 0.0000
2.2902 3.9672 0.0688
2.2902 1.3546 1.7742
2.2902 3.7960 6.5447
0.0000 -0.0505 6.5056
0.0000 5.2011 1.8133
```

DOS(E_F) = 0.78 states/eV/atom
crystal system = monoclinic
energy relative to the elements, uncorrected = -10.941 eV/f.u.
calculated volume = 37.4 Å³/atom

---

7.
The following is a PBE calculation of a relaxed K3Ce3DyTe8 crystal, from the Alexandria database.

Cell and atoms, written as POSCAR:
```
K3Ce3DyTe8
1.0
9.1152 -0.0002 0.0007
-4.5578 7.8945 -0.0314
0.0007 -5.2297 8.3539
K Ce Dy Te
3 3 1 8
Cartesian
0.0000 0.0000 0.0000
-2.2789 3.9472 -0.0157
2.2787 3.9472 -0.0153
4.5580 -2.6149 4.1773
2.2791 1.3323 4.1616
-2.2785 1.3324 4.1612
0.0004 -2.6148 4.1769
-0.0002 2.6411 2.3790
4.5583 0.0236 5.9442
4.5580 2.6691 2.4317
0.0001 -0.0044 5.8915
6.8608 -1.3199 2.4480
-2.3027 3.9846 5.8752
2.2549 -1.3201 2.4473
2.3033 3.9848 5.8759
```

DOS(E_F) = 0.90 states/eV/atom
crystal system = trigonal
energy relative to the elements, uncorrected = -20.054 eV/f.u.
calculated volume = 40.0 Å³/atom

---

8.
The following is a PBE calculation of a relaxed KCe2DyTe4 crystal, from the Alexandria database.

Cell and atoms, written as POSCAR:
```
KCe2DyTe4
1.0
-2.5935 0.6696 3.6058
-0.8713 -7.8080 0.8233
5.7933 -2.7210 4.6722
K Ce Dy Te
1 2 1 4
Cartesian
-1.7324 -3.5692 2.2145
5.7932 -2.7210 4.6721
1.5999 -1.0257 4.1390
2.4610 -5.2644 2.7477
3.5963 -7.8964 4.0531
-1.2679 -1.9630 5.0481
-0.4254 -6.1929 3.6419
2.7538 -3.6665 5.4593
```

DOS(E_F) = 2.06 states/eV/atom
crystal system = monoclinic
energy relative to the elements, uncorrected = -10.357 eV/f.u.
calculated volume = 33.3 Å³/atom

---

- Which of these has the highest DOS(E_F)?
  KCe2DyTe4

---

- Number 2 is which compound?
  KCeDy4Se8

---

- Among the records above, which one has the highest DOS(E_F)?
  KCe2DyTe4